Sr3Ac3CoO8, relaxed, DFT PBE+U; uncorrected energy = -100.05 eV/cell
1.0
3.6538 2.1095 5.9760
-3.6538 2.1095 5.9760
0.0000 -4.2190 5.9760
Sr Ac Co O
3 3 1 8
Direct
0.0000 0.5000 0.5000
0.5000 0.0000 0.5000
0.5000 0.5000 0.0000
0.0000 0.0000 0.5000
0.0000 0.5000 0.0000
0.5000 0.0000 0.0000
0.5000 0.5000 0.5000
0.2501 0.2501 0.2501
0.2530 0.7367 0.7367
0.2633 0.2633 0.7470
0.2633 0.7470 0.2633
0.7367 0.2530 0.7367
0.7367 0.7367 0.2530
0.7470 0.2633 0.2633
0.7499 0.7499 0.7499

AcTaCo2O6, relaxed, DFT PBE+U; uncorrected energy = -78.37 eV/cell
1.0
5.4871 0.0000 0.0000
-2.7186 4.7685 0.0000
-0.0216 -3.1567 4.8908
Ac Ta Co O
1 1 2 6
Direct
0.0000 0.0000 0.0000
0.4714 0.9442 0.4221
0.2708 0.5338 0.8080
0.7760 0.5505 0.3284
0.0730 0.6710 0.1251
0.2017 0.7350 0.5939
0.4515 0.5222 0.1300
0.5265 0.3816 0.5915
0.6020 0.0499 0.1282
0.8536 0.0564 0.5934

Question: Among the records above, which one has the lowest uncorrected energy?
Answer: Sr3Ac3CoO8